The following is a DFT calculation (PBE-GGA) of a relaxed structure of KLiSb2Te4. Values from VASP.

Structure (Quantum ESPRESSO input):
```
&SYSTEM
  ibrav = 0, nat = 16, ntyp = 4
/
ATOMIC_SPECIES
K 39.10 K.upf
Li 6.94 Li.upf
Sb 121.76 Sb.upf
Te 127.60 Te.upf
CELL_PARAMETERS angstrom
2.236 -7.460 0.000
2.236 7.460 0.000
0.000 0.000 15.912
ATOMIC_POSITIONS crystal
K 0.112 0.888 0.750
K 0.888 0.112 0.250
Li 0.160 0.840 0.250
Li 0.840 0.160 0.750
Sb 0.366 0.634 0.565
Sb 0.366 0.634 0.935
Sb 0.634 0.366 0.065
Sb 0.634 0.366 0.435
Te 0.000 0.000 0.000
Te 0.000 0.000 0.500
Te 0.268 0.732 0.107
Te 0.268 0.732 0.393
Te 0.436 0.564 0.750
Te 0.564 0.436 0.250
Te 0.732 0.268 0.607
Te 0.732 0.268 0.893
```

Its total moment is 0.000 μB per atom. Its symmetry is Cmcm (63). The value obtained for the formation energy from raw total energies is -0.456 eV per atom. The value obtained for the density of states at the Fermi level is 0.02 states/eV/cell.